# 1
The following is a GGA-PBE calculation of NbAlCoRh after structural relaxation, from the Alexandria database.

a b c (Å): 6.135 6.135 6.135
angles (deg): 90.00 90.00 90.00
Space group F-43m (No. 216)
One atom of each set of equivalent atoms:
Nb 0.000 0.000 0.000 x4
Al 0.000 0.000 0.500 x4
Co 0.250 0.250 0.250 x4
Rh 0.250 0.250 0.750 x4

Calculated values
Energy of formation from the pure elements (meV/atom): -516.2

# 2
The following is a GGA-PBE calculation of Dy2PbI3 after structural relaxation, from the Alexandria database.

a b c (Å): 20.292 4.131 14.218
angles (deg): 90.00 130.10 90.00
Space group C2/m (No. 12)
One atom of each set of equivalent atoms:
Dy 0.104 0.000 0.423 x4
Dy 0.125 0.500 0.834 x4
Pb 0.077 0.000 0.634 x4
I 0.046 0.500 0.215 x4
I 0.180 0.000 0.040 x4
I 0.239 0.500 0.608 x4

Calculated values
Formation energy without anion corrections (kJ/mol of formula units): -545

# 3
The following is a GGA-PBE calculation of CaMg3Ga4 after structural relaxation, from the Alexandria database.

a b c (Å): 4.806 4.806 7.124
angles (deg): 90.00 90.00 90.00
Space group P4/mmm (No. 123)
One atom of each set of equivalent atoms:
Ca 0.000 0.000 0.000 x1
Mg 0.000 0.000 0.500 x1
Mg 0.500 0.500 0.000 x1
Mg 0.500 0.500 0.500 x1
Ga 0.000 0.500 0.270 x4

Calculated values
Energy of formation from the pure elements (meV/atom): -231.8

# 4
The following is a GGA-PBE calculation of Mg2HgBr after structural relaxation, from the Alexandria database.

a b c (Å): 5.383 5.408 3.352
angles (deg): 90.00 90.00 90.00
Space group Pmm2 (No. 25)
One atom of each set of equivalent atoms:
Mg 0.000 0.000 0.000 x1
Mg 0.500 0.500 0.018 x1
Hg 0.000 0.500 0.532 x1
Br 0.500 0.000 0.100 x1

Calculated values
Polymorph energy (0 for the lowest one) (meV/atom): 127
Formation energy without anion corrections (kJ/mol of formula units): -139

# 5
The following is a GGA-PBE calculation of LaSi4N7 after structural relaxation, from the Alexandria database.

a b c (Å): 11.796 5.229 4.851
angles (deg): 90.00 90.00 90.00
Space group Pmn2_1 (No. 31)
One atom of each set of equivalent atoms:
La 0.000 0.199 0.000 x2
Si 0.126 0.819 0.461 x4
Si 0.250 0.327 0.458 x4
N 0.000 0.691 0.349 x2
N 0.129 0.811 0.819 x4
N 0.138 0.135 0.369 x4
N 0.236 0.633 0.315 x4

Calculated values
Formation energy without anion corrections (kJ/mol of formula units): -1002

# 6
The following is a GGA-PBE calculation of Mg3Sc after structural relaxation, from the Alexandria database.

a b c (Å): 5.1165 5.1165 9.0801
angles (deg): 90.00 90.00 120.00
Space group P6_3/mmc (No. 194)
One atom of each set of equivalent atoms:
Mg 0.0000 0.0000 0.2500 x2
Mg 0.3333 0.6667 0.0887 x4
Sc 0.3333 0.6667 0.7500 x2

Calculated values
Energy of formation from the pure elements (meV/atom): 203.6

# 7
The following is a GGA-PBE calculation of La2TbNd6Tm after structural relaxation, from the Alexandria database.

a b c (Å): 9.209 15.299 10.098
angles (deg): 90.00 100.16 90.00
Space group C2/c (No. 15)
One atom of each set of equivalent atoms:
La 0.243 0.049 0.041 x8
Tb 0.000 0.013 0.750 x4
Nd 0.067 0.190 0.444 x8
Nd 0.102 0.398 0.621 x8
Nd 0.201 0.218 0.810 x8
Tm 0.000 0.405 0.250 x4

Calculated values
Energy of formation from the pure elements (meV/atom): 111.8

# 8
The following is a GGA-PBE calculation of PmPr2NdTm2 after structural relaxation, from the Alexandria database.

a b c (Å): 5.700 10.278 6.928
angles (deg): 90.00 90.00 90.00
Space group Pmc2_1 (No. 26)
One atom of each set of equivalent atoms:
Pm 0.000 0.026 0.000 x2
Pr 0.000 0.303 0.353 x2
Pr 0.500 0.473 0.089 x2
Nd 0.500 0.194 0.737 x2
Tm 0.000 0.369 0.843 x2
Tm 0.500 0.129 0.247 x2

Calculated values
Energy of formation from the pure elements (meV/atom): 71.7

# 9
The following is a GGA-PBE calculation of CsTcSCl2 after structural relaxation, from the Alexandria database.

a b c (Å): 5.233 5.233 4.531
angles (deg): 90.00 90.00 90.00
Space group P4/mmm (No. 123)
One atom of each set of equivalent atoms:
Cs 0.000 0.000 0.000 x1
Tc 0.500 0.500 0.500 x1
S 0.500 0.500 0.000 x1
Cl 0.000 0.500 0.500 x2

Calculated values
Polymorph energy (0 for the lowest one) (meV/atom): 0
Formation energy without anion corrections (kJ/mol of formula units): -370

# 10
The following is a GGA-PBE calculation of YGeTe2Br after structural relaxation, from the Alexandria database.

a b c (Å): 5.862 5.862 5.155
angles (deg): 90.00 90.00 90.00
Space group P4/mmm (No. 123)
One atom of each set of equivalent atoms:
Y 0.000 0.000 0.000 x1
Ge 0.500 0.500 0.000 x1
Te 0.000 0.500 0.500 x2
Br 0.000 0.000 0.500 x1

Calculated values
Formation energy without anion corrections (kJ/mol of formula units): 220

# 11
The following is a GGA-PBE calculation of KTcSeBr2 after structural relaxation, from the Alexandria database.

a b c (Å): 5.431 5.431 4.733
angles (deg): 90.00 90.00 90.00
Space group P4/mmm (No. 123)
One atom of each set of equivalent atoms:
K 0.000 0.000 0.000 x1
Tc 0.500 0.500 0.500 x1
Se 0.500 0.500 0.000 x1
Br 0.000 0.500 0.500 x2

Calculated values
Polymorph energy (0 for the lowest one) (meV/atom): 0
Formation energy without anion corrections (kJ/mol of formula units): -247

# 12
The following is a GGA-PBE calculation of Tl4PdI6 after structural relaxation, from the Alexandria database.

a b c (Å): 9.320 9.320 9.606
angles (deg): 90.00 90.00 90.00
Space group P4/mnc (No. 128)
One atom of each set of equivalent atoms:
Tl 0.149 0.351 0.250 x8
Pd 0.000 0.000 0.000 x2
I 0.000 0.000 0.282 x4
I 0.132 0.704 0.000 x8

Calculated values
Formation energy without anion corrections (kJ/mol of formula units): -499

# 13
The following is a GGA-PBE calculation of CaHg2Br after structural relaxation, from the Alexandria database.

a b c (Å): 7.660 7.660 7.660
angles (deg): 90.00 90.00 90.00
Space group F-43m (No. 216)
One atom of each set of equivalent atoms:
Ca 0.000 0.000 0.000 x4
Hg 0.000 0.000 0.500 x4
Hg 0.250 0.250 0.250 x4
Br 0.250 0.250 0.750 x4

Calculated values
Polymorph energy (0 for the lowest one) (meV/atom): 165
Formation energy without anion corrections (kJ/mol of formula units): -224

# 14
The following is a GGA-PBE calculation of CuTc2BS after structural relaxation, from the Alexandria database.

a b c (Å): 4.360 4.360 4.037
angles (deg): 90.00 90.00 90.00
Space group P4/mmm (No. 123)
One atom of each set of equivalent atoms:
Cu 0.000 0.000 0.000 x1
Tc 0.000 0.500 0.500 x2
B 0.500 0.500 0.000 x1
S 0.000 0.000 0.500 x1

Calculated values
Formation energy without anion corrections (kJ/mol of formula units): 622

# 15
The following is a GGA-PBE calculation of Hf2ScSbCl after structural relaxation, from the Alexandria database.

a b c (Å): 5.430 5.430 5.203
angles (deg): 90.00 90.00 90.00
Space group P4/mmm (No. 123)
One atom of each set of equivalent atoms:
Hf 0.000 0.500 0.000 x2
Sc 0.000 0.000 0.500 x1
Sb 0.500 0.500 0.000 x1
Cl 0.500 0.500 0.500 x1

Calculated values
Formation energy without anion corrections (kJ/mol of formula units): 409

# 16
The following is a GGA-PBE calculation of MgTl3Hg6 after structural relaxation, from the Alexandria database.

a b c (Å): 12.878 3.453 12.984
angles (deg): 90.00 107.11 90.00
Space group P2_1/m (No. 11)
One atom of each set of equivalent atoms:
Mg 0.043 0.250 0.197 x2
Tl 0.092 0.250 0.603 x2
Tl 0.392 0.750 0.041 x2
Tl 0.425 0.250 0.361 x2
Hg 0.104 0.250 0.981 x2
Hg 0.151 0.750 0.388 x2
Hg 0.194 0.750 0.820 x2
Hg 0.237 0.750 0.185 x2
Hg 0.327 0.250 0.558 x2
Hg 0.411 0.750 0.782 x2

Calculated values
Energy of formation from the pure elements (meV/atom): -32.5

# 17
The following is a GGA-PBE calculation of ZrZnCo after structural relaxation, from the Alexandria database.

a b c (Å): 6.132 6.132 6.132
angles (deg): 90.00 90.00 90.00
Space group F-43m (No. 216)
One atom of each set of equivalent atoms:
Zr 0.000 0.000 0.000 x4
Zn 0.250 0.250 0.250 x4
Co 0.250 0.250 0.750 x4

Calculated values
Energy of formation from the pure elements (meV/atom): 509.8

# 18
The following is a GGA-PBE calculation of PdNCl3 after structural relaxation, from the Alexandria database.

a b c (Å): 6.727 6.727 7.262
angles (deg): 116.88 90.40 119.70
Space group P-1 (No. 2)
One atom of each set of equivalent atoms:
Pd 0.168 0.332 0.000 x2
N 0.471 0.942 0.910 x2
Cl 0.007 0.844 0.771 x2
Cl 0.163 0.736 0.229 x2
Cl 0.418 0.434 0.771 x2

Calculated values
Polymorph energy (0 for the lowest one) (meV/atom): 0
Formation energy without anion corrections (kJ/mol of formula units): -64

# 19
The following is a GGA-PBE calculation of Al2Bi2O7 after structural relaxation, from the Alexandria database.

a b c (Å): 10.189 10.189 10.189
angles (deg): 90.00 90.00 90.00
Space group Fd-3m (No. 227, origin choice 2)
One atom of each set of equivalent atoms:
Al 0.000 0.000 0.000 x16
Bi 0.000 0.000 0.500 x16
O 0.088 0.375 0.375 x48
O 0.125 0.125 0.125 x8

Calculated values
Polymorph energy (0 for the lowest one) (meV/atom): 346
Formation energy without anion corrections (kJ/mol of formula units): -1370

# 20
The following is a GGA-PBE calculation of NaCd2Ag9 after structural relaxation, from the Alexandria database.

a b c (Å): 9.5752 9.5752 2.9017
angles (deg): 90.00 90.00 120.00
Space group P6/mmm (No. 191)
One atom of each set of equivalent atoms:
Na 0.0000 0.0000 0.0000 x1
Cd 0.3333 0.6667 0.0000 x2
Ag 0.0000 0.5000 0.0000 x3
Ag 0.1749 0.3498 0.5000 x6

Calculated values
Energy of formation from the pure elements (meV/atom): 29.0

# 21
The following is a GGA-PBE calculation of SmScCdAg after structural relaxation, from the Alexandria database.

a b c (Å): 7.272 7.272 7.272
angles (deg): 90.00 90.00 90.00
Space group F-43m (No. 216)
One atom of each set of equivalent atoms:
Sm 0.000 0.000 0.000 x4
Sc 0.000 0.000 0.500 x4
Cd 0.250 0.250 0.250 x4
Ag 0.250 0.250 0.750 x4

Calculated values
Polymorph energy (0 for the lowest one) (meV/atom): 20
Energy of formation from the pure elements (meV/atom): -251.0

Table of volume (A^3/atom), in record order: 14.43, 37.99, 20.57, 24.39, 12.47, 25.73, 35.01, 33.82, 24.81, 35.43, 27.92, 37.92, 28.09, 15.35, 30.69, 27.60, 19.21, 24.30, 12.02, 19.20, 24.04
Table of magnetic moment (μB/atom), in record order: 0.480, 0.000, 0.000, 0.000, 0.163, 0.000, 0.000, 0.000, 0.173, 0.000, 0.148, 0.049, 0.000, 0.000, 0.000, 0.000, 0.193, 0.208, 0.215, 0.000, 0.000